# Sc3Fe5 | Alexandria | GGA-PBE | optimized geometry
data_Sc3Fe5
_chemical_formula_sum 'Sc12 Fe20'
_symmetry_space_group_name_H-M 'C m c m'
_symmetry_Int_Tables_number 63
_symmetry_space_group_name_Hall '-C 2c 2'
_cell_length_a 12.2244
_cell_length_b 9.3676
_cell_length_c 4.3369
_cell_angle_alpha 90.00
_cell_angle_beta 90.00
_cell_angle_gamma 90.00
loop_
_atom_site_label
_atom_site_fract_x
_atom_site_fract_y
_atom_site_fract_z
Sc1 0.0000 0.1382 0.2500
Sc2 0.1732 0.2594 0.7500
Fe1 0.0000 0.3915 0.7500
Fe2 0.1194 0.4234 0.2500
Fe3 0.2024 0.0000 0.0000
# * ΔH_f (0 K): 0.61 eV per formula unit
# * energy above the lowest structure with this stoichiometry: 57 meV/atom
# * raw total energy: -7.587 eV per atom


# Ni2PbW | Alexandria | GGA-PBE | optimized geometry
data_Ni2PbW
_chemical_formula_sum 'Ni2 Pb1 W1'
_symmetry_space_group_name_H-M 'P 4/m m m'
_symmetry_Int_Tables_number 123
_symmetry_space_group_name_Hall '-P 4 2'
_cell_length_a 4.0770
_cell_length_b 4.0770
_cell_length_c 3.6731
_cell_angle_alpha 90.00
_cell_angle_beta 90.00
_cell_angle_gamma 90.00
loop_
_atom_site_label
_atom_site_fract_x
_atom_site_fract_y
_atom_site_fract_z
Ni1 0.0000 0.5000 0.0000
Pb1 0.0000 0.0000 0.5000
W1 0.5000 0.5000 0.5000
# * ΔH_f (0 K): 2.22 eV per formula unit
# * raw total energy: -6.500 eV per atom


# Zr2ScH7 | Alexandria | GGA-PBE | optimized geometry
data_Zr2ScH7
_chemical_formula_sum 'Zr4 Sc2 H14'
_symmetry_space_group_name_H-M 'I 4/m m m'
_symmetry_Int_Tables_number 139
_symmetry_space_group_name_Hall '-I 4 2'
_cell_length_a 3.5032
_cell_length_b 3.5032
_cell_length_c 13.3845
_cell_angle_alpha 90.00
_cell_angle_beta 90.00
_cell_angle_gamma 90.00
loop_
_atom_site_label
_atom_site_fract_x
_atom_site_fract_y
_atom_site_fract_z
Zr1 0.0000 0.0000 0.1660
Sc1 0.0000 0.0000 0.5000
H1 0.0000 0.0000 0.0000
H2 0.0000 0.5000 0.0874
H3 0.0000 0.5000 0.2500
# * raw total energy: -5.230 eV per atom